VASP calculation (PBE-GGA) on a geometry-optimized Pm2MgRu structure.

abc: 3.464 3.464 8.721
angles: 90.00 90.00 90.00
Sites, in units of the cell vectors:
1 Pm 0.000 0.000 0.197
2 Pm 0.000 0.000 0.803
3 Ru 0.500 0.500 0.000
4 Mg 0.500 0.500 0.500

Properties
For the total DFT energy (no corrections), the calculation gives -21.05 eV per cell. The density of states at the Fermi level is 0.8953 states/eV/atom. For the calculated density, the calculation gives 6.59 g/cm³. The distance to the lowest polymorph of the same formula is 0.000 eV/atom. The calculation puts the calculated formation energy at -169 meV/atom.